Ac2Cd3Ag12Sn after structural relaxation. Source: Alexandria via LeMat-Bulk, functional PBE.

```
Ac2Cd3Ag12Sn
1.0
3.0432 1.7570 13.2460
-3.0432 1.7570 13.2460
0.0000 -3.5140 13.2460
Ac Cd Ag Sn
2 3 12 1
Direct
0.1424 0.1424 0.1424
0.8576 0.8576 0.8576
0.0000 0.5000 0.5000
0.5000 0.0000 0.5000
0.5000 0.5000 0.0000
0.1001 0.1001 0.6331
0.1001 0.6331 0.1001
0.1036 0.6132 0.6132
0.3669 0.8999 0.8999
0.3868 0.3868 0.8964
0.3868 0.8964 0.3868
0.6132 0.1036 0.6132
0.6132 0.6132 0.1036
0.6331 0.1001 0.1001
0.8964 0.3868 0.3868
0.8999 0.3669 0.8999
0.8999 0.8999 0.3669
0.5000 0.5000 0.5000
```

## Properties
ρ	8.6	g/cm³
final energy	-0.101	Ha/atom
spin magnetization	0.00	μB per formula unit

=====

Ac2Cd12Ag3Sn after structural relaxation. Source: Alexandria via LeMat-Bulk, functional PBE.

```
Ac2Cd12Ag3Sn
1.0
3.1706 1.8306 13.5712
-3.1706 1.8306 13.5712
0.0000 -3.6611 13.5712
Ac Cd Ag Sn
2 12 3 1
Direct
0.1429 0.1429 0.1429
0.8571 0.8571 0.8571
0.1001 0.6124 0.6124
0.1023 0.1023 0.6399
0.1023 0.6399 0.1023
0.3601 0.8977 0.8977
0.3876 0.3876 0.8999
0.3876 0.8999 0.3876
0.6124 0.1002 0.6124
0.6124 0.6124 0.1001
0.6399 0.1023 0.1023
0.8977 0.3601 0.8977
0.8977 0.8977 0.3601
0.8999 0.3876 0.3876
0.0000 0.5000 0.5000
0.5000 0.0000 0.5000
0.5000 0.5000 0.0000
0.5000 0.5000 0.5000
```

## Properties
ρ	7.9	g/cm³
final energy	-0.066	Ha/atom
spin magnetization	0.00	μB per formula unit